Material: LiV2SiO6
Method: DFT, PBE+U
State: optimized geometry

Cell and atoms, written as POSCAR:
```
LiV2SiO6
1.0
2.468 1.425 4.590
-2.468 1.425 4.590
0.000 -2.850 4.590
Li V Si O
1 2 1 6
Direct
0.000 0.000 0.000
0.277 0.277 0.277
0.786 0.786 0.786
0.476 0.476 0.476
0.091 0.664 0.412
0.218 0.558 0.840
0.412 0.091 0.664
0.558 0.840 0.218
0.664 0.412 0.091
0.840 0.218 0.558
```

E: -7.42 eV/atom